The following is a PBE with a Hubbard U calculation of a geometry-optimized MnCdO2F structure, from the Alexandria database.

```
MnCdO2F
1.0
-3.0626 -2.7087 -0.8243
2.2905 -1.6563 -3.0671
1.7009 -2.7639 2.7628
F Mn O Cd
1 1 2 1
direct
0.0000 0.0000 0.5000 F
0.5000 0.5000 0.5000 Mn
0.0000 0.5000 0.0000 O
0.5000 0.0000 0.0000 O
0.0000 0.0000 0.0000 Cd
```

- Size of the total moment: 4.76 Bohr magnetons per cell
- VASP energy: -4.70 eV/atom